MnTc2F11 | PBE with a Hubbard U | optimized geometry

Geometry as extended XYZ:
```
28
Lattice="-4.402 4.418 5.092 4.402 -4.418 5.092 4.402 4.418 -5.092" Properties=species:S:1:pos:R:3 pbc="T T T"
Mn 0.000 0.000 2.546
Mn 0.000 0.000 7.638
Tc 5.856 1.450 0.000
Tc 1.454 2.968 0.000
Tc 2.948 1.450 5.092
Tc -1.454 2.968 5.092
F 4.402 0.000 0.000
F 1.906 -0.525 1.358
F 4.935 -2.483 3.730
F 4.935 2.483 -1.362
F 2.749 1.670 0.000
F 6.898 0.525 1.358
F 2.496 3.893 -1.358
F 2.749 -1.670 5.092
F 0.533 1.935 1.362
F 4.935 2.483 1.362
F 1.906 0.525 3.734
F 0.000 4.418 0.000
F 2.496 3.893 1.358
F -0.533 1.935 3.730
F 3.869 2.483 3.730
F 1.653 6.088 0.000
F 1.906 0.525 6.450
F -2.496 3.893 3.734
F 1.653 2.748 5.092
F -0.533 1.935 6.454
F -0.533 6.901 1.362
F 2.496 4.942 3.734
```

Calculated density: 3.86 g/cm3
Raw total energy: -5.618 eV/atom
Crystal system: orthorhombic
V: 14.147 Å³/atom
Size of the total moment: 20.00 μB/cell
Space group: Ibam, No. 72
Density of states at the Fermi level: 10.61 states/eV/f.u.